MgHgP2Se: optimized geometry, PBE-GGA.

```
MgHgP2Se
1.0
-4.475 2.169 -0.219
-2.214 -4.518 0.500
0.018 0.538 4.948
Se P Hg Mg
1 2 1 1
Direct
0.000 0.000 0.000 Se
0.500 0.000 0.000 P
0.000 0.000 0.500 P
0.000 0.500 0.000 Hg
0.500 0.500 0.500 Mg
```

* crystal system: tetragonal
* E_form (uncorrected): 0.725 eV per atom


Mg2VHgP: optimized geometry, PBE-GGA.

```
Mg2VHgP
1.0
-2.153 3.652 3.070
-3.038 -3.558 2.102
3.626 -0.936 3.657
Mg V P Hg
2 1 1 1
Direct
0.000 0.000 0.500 Mg
0.500 0.000 0.000 Mg
0.000 0.000 0.000 V
0.500 0.500 0.500 P
0.000 0.500 0.000 Hg
```

* ΔE_f: 1.136 eV per atom
* crystal system: tetragonal